[1]
The following is a DFT calculation (PBEsol) of an optimized crystal structure of HfAu3Se.

Properties
The space group is Pm-3m, No. 221. The value obtained for the formation energy without anion corrections is 75 kJ per mole of atoms.

a = 4.8067 Å, b = 4.8067 Å, c = 4.8067 Å
α = 90.00°, β = 90.00°, γ = 90.00°
Last column: nearest neighbours and their distance in Å.
Positions (direct):
Hf 0.5000 0.5000 0.5000  12 Au 3.40
Au 0.0000 0.5000 0.0000  2 Se 2.40
Au 0.0000 0.0000 0.5000  2 Se 2.40
Au 0.5000 0.0000 0.0000  2 Se 2.40
Se 0.0000 0.0000 0.0000  6 Au 2.40


[2]
The following is a DFT calculation (PBEsol) of an optimized crystal structure of HfSiAu.

Properties
The space group is C2/m, No. 12. The value obtained for the formation energy without anion corrections is -64 kJ per mole of atoms.

a = 3.9255 Å, b = 5.2257 Å, c = 5.6787 Å
α = 73.68°, β = 69.78°, γ = 67.94°
Last column: nearest neighbours and their distance in Å.
Positions (direct):
Hf 0.9291 0.8139 0.3279  5 Si 2.75-2.87, 4 Au 3.01
Hf 0.0709 0.1861 0.6721  5 Si 2.75-2.87, 4 Au 3.01
Si 0.6457 0.3824 0.3262  1 Si 2.34, 3 Au 2.49-2.57
Si 0.3543 0.6176 0.6738  1 Si 2.34, 3 Au 2.49-2.57
Au 0.6685 0.7480 0.9149  3 Si 2.49-2.57, 1 Au 2.75
Au 0.3315 0.2520 0.0851  3 Si 2.49-2.57, 1 Au 2.75


- Number 1 is which compound?
  HfAu3Se